Record 1
Entry from Alexandria: an optimized crystal structure of InHg6Sb4Br7 (PBE-GGA).

Values from the calculation:
E_tot ... -2.2025 eV/atom
Crystal system ... cubic
Formation energy from raw total energies ... -36.97 kJ per mole of atoms
Space group ... No. 205

Structure (POSCAR):
```
InHg6Sb4Br7
1.0
13.2991 0.0000 0.0000
0.0000 13.2991 0.0000
0.0000 0.0000 13.2991
Sb Br In Hg
16 28 4 24
direct
0.8658 0.1342 0.6342 Sb
0.6342 0.6342 0.6342 Sb
0.1342 0.6342 0.8658 Sb
0.3658 0.3658 0.3658 Sb
0.2603 0.7603 0.7397 Sb
0.7397 0.2397 0.2603 Sb
0.2397 0.2603 0.7397 Sb
0.2603 0.7397 0.2397 Sb
0.8658 0.3658 0.1342 Sb
0.7603 0.7603 0.7603 Sb
0.6342 0.8658 0.1342 Sb
0.7603 0.7397 0.2603 Sb
0.3658 0.1342 0.8658 Sb
0.7397 0.2603 0.7603 Sb
0.1342 0.8658 0.3658 Sb
0.2397 0.2397 0.2397 Sb
0.6956 0.9584 0.4517 Br
0.4584 0.4517 0.8044 Br
0.9584 0.4517 0.6956 Br
0.1956 0.9584 0.0483 Br
0.4584 0.0483 0.3044 Br
0.4517 0.8044 0.4584 Br
0.1956 0.5416 0.5483 Br
0.9517 0.6956 0.5416 Br
0.8044 0.0416 0.9517 Br
0.5000 0.5000 0.5000 Br
0.0416 0.9517 0.8044 Br
0.5416 0.5483 0.1956 Br
0.0483 0.1956 0.9584 Br
0.5483 0.3044 0.0416 Br
0.3044 0.0416 0.5483 Br
0.6956 0.5416 0.9517 Br
0.0483 0.3044 0.4584 Br
0.5483 0.1956 0.5416 Br
0.5000 0.0000 0.0000 Br
0.4517 0.6956 0.9584 Br
0.9517 0.8044 0.0416 Br
0.0416 0.5483 0.3044 Br
0.9584 0.0483 0.1956 Br
0.5416 0.9517 0.6956 Br
0.8044 0.4584 0.4517 Br
0.0000 0.0000 0.5000 Br
0.3044 0.4584 0.0483 Br
0.0000 0.5000 0.0000 Br
0.5000 0.0000 0.5000 In
0.0000 0.0000 0.0000 In
0.0000 0.5000 0.5000 In
0.5000 0.5000 0.0000 In
0.1831 0.7060 0.0526 Hg
0.8169 0.2060 0.4474 Hg
0.4474 0.8169 0.2060 Hg
0.3169 0.2940 0.5526 Hg
0.1831 0.7940 0.5526 Hg
0.7940 0.5526 0.1831 Hg
0.9474 0.6831 0.7940 Hg
0.7060 0.0526 0.1831 Hg
0.6831 0.7940 0.9474 Hg
0.6831 0.7060 0.4474 Hg
0.2060 0.0526 0.3169 Hg
0.2940 0.5526 0.3169 Hg
0.2940 0.9474 0.8169 Hg
0.3169 0.2060 0.0526 Hg
0.7940 0.9474 0.6831 Hg
0.8169 0.2940 0.9474 Hg
0.4474 0.6831 0.7060 Hg
0.0526 0.3169 0.2060 Hg
0.0526 0.1831 0.7060 Hg
0.5526 0.1831 0.7940 Hg
0.5526 0.3169 0.2940 Hg
0.7060 0.4474 0.6831 Hg
0.2060 0.4474 0.8169 Hg
0.9474 0.8169 0.2940 Hg
```


Record 2
Entry from Alexandria: an optimized crystal structure of LiEr4Ir2 (PBE-GGA).

Values from the calculation:
E_tot ... -6.0875 eV/atom
Crystal system ... trigonal
Space group ... No. 166
Energy relative to the elements ... -0.675 eV per atom

Structure (POSCAR):
```
LiEr4Ir2
1.0
4.5957 0.0000 1.4358
2.0736 4.1013 1.4358
-0.0869 -0.0535 8.3511
Er Li Ir
4 1 2
direct
0.1277 0.1277 0.6168 Er
0.8723 0.8723 0.3832 Er
0.3788 0.3788 0.8636 Er
0.6212 0.6212 0.1364 Er
0.0000 0.0000 0.0000 Li
0.7478 0.7478 0.7565 Ir
0.2522 0.2522 0.2435 Ir
```


Record 3
Entry from Alexandria: an optimized crystal structure of YSc4Ni2 (PBE-GGA).

Values from the calculation:
E_tot ... -6.4051 eV/atom
Crystal system ... monoclinic
Space group ... No. 11
Energy relative to the elements ... -0.212 eV per atom

Structure (POSCAR):
```
YSc4Ni2
1.0
-0.9614 5.8471 0.1421
-6.5338 -1.1457 2.9409
5.3665 0.7572 5.1514
Sc Ni Y
8 4 2
direct
0.0023 0.5917 0.2349 Sc
0.7500 0.7361 0.6468 Sc
0.4977 0.5917 0.2349 Sc
0.7500 0.0223 0.3931 Sc
0.2500 0.2639 0.3532 Sc
0.5023 0.4083 0.7651 Sc
0.9977 0.4083 0.7651 Sc
0.2500 0.9777 0.6069 Sc
0.7500 0.7331 0.0082 Ni
0.2500 0.6211 0.5756 Ni
0.2500 0.2669 0.9918 Ni
0.7500 0.3789 0.4244 Ni
0.7500 0.1492 0.0157 Y
0.2500 0.8508 0.9843 Y
```


Record 4
Entry from Alexandria: an optimized crystal structure of Sc2PBr (PBE-GGA).

Values from the calculation:
E_tot ... -6.2567 eV/atom
Crystal system ... trigonal
Formation energy from raw total energies ... -127.38 kJ per mole of atoms
Space group ... No. 160

Structure (POSCAR):
```
Sc2PBr
1.0
-3.4135 0.8858 -1.3817
-2.3392 -2.7399 -1.1689
-4.5562 -1.0329 5.4023
Sc P Br
2 1 1
direct
0.0645 0.0645 0.8066 Sc
0.2697 0.2697 0.1910 Sc
0.6686 0.6686 0.9941 P
0.4972 0.4972 0.5083 Br
```


Record 5
Entry from Alexandria: an optimized crystal structure of Cs4NaAg3 (PBE-GGA).

Values from the calculation:
E_tot ... -1.6284 eV/atom
Crystal system ... orthorhombic
Space group ... No. 25
Energy relative to the elements ... 0.032 eV per atom

Structure (POSCAR):
```
Cs4NaAg3
1.0
5.5570 0.0000 0.0000
0.0000 5.2992 0.0000
0.0000 0.0000 13.8632
Cs Ag Na
4 3 1
direct
0.5000 0.5000 0.3759 Cs
0.0000 0.5000 0.8367 Cs
0.5000 0.0000 0.6406 Cs
0.0000 0.0000 0.1550 Cs
0.0000 0.5000 0.5500 Ag
0.5000 0.0000 0.9306 Ag
0.0000 0.0000 0.4660 Ag
0.5000 0.5000 0.0451 Na
```


Record 6
Entry from Alexandria: an optimized crystal structure of ZrCd3B (PBE-GGA).

Values from the calculation:
E_tot ... -1.7877 eV/atom
ΔE to the lowest computed polymorph ... 1.190 eV/atom
Crystal system ... cubic
Space group ... No. 221
Energy relative to the elements ... 1.806 eV per atom

Structure (POSCAR):
```
ZrCd3B
1.0
-5.0870 -1.1384 -2.1992
2.4274 -3.2866 -3.9136
-0.4900 -4.4623 3.4434
Zr Cd B
1 3 1
direct
0.0000 0.0000 0.0000 Zr
0.0000 0.5000 0.0000 Cd
0.0000 0.0000 0.5000 Cd
0.5000 0.0000 0.0000 Cd
0.5000 0.5000 0.5000 B
```


Record 7
Entry from Alexandria: an optimized crystal structure of LiCr2 (PBE-GGA).

Values from the calculation:
E_tot ... -6.6327 eV/atom
ΔE to the lowest computed polymorph ... 0.003 eV/atom
Crystal system ... orthorhombic
Space group ... No. 63
Energy relative to the elements ... 0.421 eV per atom

Structure (POSCAR):
```
LiCr2
1.0
0.9164 -0.1524 -4.7542
-3.0756 -2.6749 2.6174
-2.7925 2.6024 -0.6217
Cr Li
4 2
direct
0.7430 0.2570 0.7500 Cr
0.5990 0.4010 0.2500 Cr
0.4010 0.5990 0.7500 Cr
0.2570 0.7430 0.2500 Cr
0.9247 0.0753 0.2500 Li
0.0753 0.9247 0.7500 Li
```


Record 8
Entry from Alexandria: an optimized crystal structure of SrIn2Sb2 (PBE-GGA).

Values from the calculation:
E_tot ... -3.3514 eV/atom
Crystal system ... tetragonal
Formation energy from raw total energies ... -26.12 kJ per mole of atoms
Space group ... No. 127

Structure (POSCAR):
```
SrIn2Sb2
1.0
8.5986 0.0000 0.0000
0.0000 8.5986 0.0000
0.0000 0.0000 4.0282
In Sb Sr
4 4 2
direct
0.3762 0.8762 0.0000 In
0.1238 0.3762 0.0000 In
0.8762 0.6238 0.0000 In
0.6238 0.1238 0.0000 In
0.3278 0.1722 0.5000 Sb
0.8278 0.3278 0.5000 Sb
0.6722 0.8278 0.5000 Sb
0.1722 0.6722 0.5000 Sb
0.0000 0.0000 0.0000 Sr
0.5000 0.5000 0.0000 Sr
```


Record 9
Entry from Alexandria: an optimized crystal structure of LiHo2Cd8 (PBE-GGA).

Values from the calculation:
E_tot ... -1.8765 eV/atom
Crystal system ... triclinic
Space group ... No. 2
Energy relative to the elements ... -0.205 eV per atom

Structure (POSCAR):
```
LiHo2Cd8
1.0
-3.1542 -2.7465 -2.3877
-1.4665 -3.3185 5.7050
-3.4854 7.4732 1.0148
Cd Li Ho
8 1 2
direct
0.6539 0.8842 0.3118 Cd
0.8551 0.8457 0.7033 Cd
0.4105 0.5731 0.8142 Cd
0.0248 0.7324 0.0466 Cd
0.3461 0.1158 0.6882 Cd
0.9752 0.2676 0.9534 Cd
0.1449 0.1543 0.2967 Cd
0.5895 0.4269 0.1858 Cd
0.5000 0.0000 0.0000 Li
0.7833 0.3409 0.5650 Ho
0.2167 0.6591 0.4350 Ho
```


Record 10
Entry from Alexandria: an optimized crystal structure of MnV4Co2 (PBE-GGA).

Values from the calculation:
E_tot ... -7.8137 eV/atom
Crystal system ... tetragonal
Space group ... No. 139
Energy relative to the elements ... 0.737 eV per atom

Structure (POSCAR):
```
MnV4Co2
1.0
4.1804 0.0000 0.0000
0.0000 4.1804 0.0000
2.0902 2.0902 5.8346
Mn Co V
1 2 4
direct
0.0000 0.0000 0.0000 Mn
0.3847 0.3847 0.2307 Co
0.6153 0.6153 0.7693 Co
0.5000 0.0000 0.0000 V
0.0000 0.5000 0.0000 V
0.8029 0.8029 0.3942 V
0.1971 0.1971 0.6058 V
```


Record 11
Entry from Alexandria: an optimized crystal structure of ReSe2Br (PBE-GGA).

Values from the calculation:
E_tot ... -4.9341 eV/atom
ΔE to the lowest computed polymorph ... 0.347 eV/atom
Crystal system ... trigonal
Formation energy from raw total energies ... 32.65 kJ per mole of atoms
Space group ... No. 160

Structure (POSCAR):
```
ReSe2Br
1.0
-1.3243 -3.7361 9.7244
0.9963 -5.6520 8.7942
1.6767 -2.8134 9.9775
Re Se Br
1 2 1
direct
0.7449 0.7449 0.7449 Re
0.2548 0.2548 0.2548 Se
0.0238 0.0238 0.0238 Se
0.4765 0.4765 0.4765 Br
```


Record 12
Entry from Alexandria: an optimized crystal structure of TbDy2Ho3P6 (PBE-GGA).

Values from the calculation:
E_tot ... -6.6164 eV/atom
Crystal system ... monoclinic
Space group ... No. 12
Energy relative to the elements ... -1.614 eV per atom

Structure (POSCAR):
```
TbDy2Ho3P6
1.0
-3.0375 -6.1553 0.9427
4.0654 1.0482 -5.5115
4.8344 -0.3285 4.9536
P Ho Dy Tb
6 3 2 1
direct
0.4179 0.0839 0.2517 P
0.5821 0.9161 0.7483 P
0.2502 0.2502 0.7484 P
0.0839 0.4179 0.2517 P
0.7498 0.7498 0.2516 P
0.9161 0.5821 0.7483 P
0.5000 0.5000 0.5000 Ho
0.8335 0.1665 0.5000 Ho
0.1665 0.8335 0.5000 Ho
0.6667 0.3333 0.0000 Dy
0.3333 0.6667 0.0000 Dy
0.0000 0.0000 0.0000 Tb
```